Entry 1:
# RbTl5Se4 | Alexandria | PBE-GGA | optimized geometry
data_RbTl5Se4
_space_group_name_H-M_alt 'P m m n'
_space_group_IT_number 59
_cell_length_a 9.242
_cell_length_b 11.196
_cell_length_c 7.746
_cell_angle_alpha 90.00
_cell_angle_beta 90.00
_cell_angle_gamma 90.00
loop_
_space_group_symop_operation_xyz
'x,y,z'
'-x,-y,-z'
'-x+1/2,-y+1/2,z'
'x+1/2,y+1/2,-z'
'x+1/2,-y,-z'
'-x+1/2,y,z'
'-x,y+1/2,-z'
'x,-y+1/2,z'
loop_
_atom_site_label
_atom_site_fract_x
_atom_site_fract_y
_atom_site_fract_z
Rb1 0.250 0.250 0.023
Tl1 0.010 0.023 0.729
Tl2 0.250 0.750 0.824
Se1 0.001 0.250 0.346
Se2 0.250 0.545 0.022
# V = 801 Å³ per cell
# Formation energy (no corrections) = -4.3 eV/f.u.

***

Entry 2:
# RbTl3Se2 | Alexandria | PBE-GGA | optimized geometry
data_RbTl3Se2
_space_group_name_H-M_alt 'C 1 2/m 1'
_space_group_IT_number 12
_cell_length_a 16.654
_cell_length_b 4.803
_cell_length_c 11.508
_cell_angle_alpha 90.00
_cell_angle_beta 112.48
_cell_angle_gamma 90.00
loop_
_space_group_symop_operation_xyz
'x,y,z'
'-x,-y,-z'
'-x,y,-z'
'x,-y,z'
'x+1/2,y+1/2,z'
'-x+1/2,-y+1/2,-z'
'-x+1/2,y+1/2,-z'
'x+1/2,-y+1/2,z'
loop_
_atom_site_label
_atom_site_fract_x
_atom_site_fract_y
_atom_site_fract_z
Rb1 0.129 0.000 0.031
Tl1 0.032 0.000 0.358
Tl2 0.111 0.500 0.643
Tl3 0.207 0.500 0.389
Se1 0.029 0.500 0.194
Se2 0.209 0.000 0.788
# V = 850 Å³ per cell
# Formation energy (no corrections) = -3.2 eV/f.u.
# Polymorph energy (0 for the lowest one) = 30 meV per atom

***

Entry 3:
# RbTl2Se | Alexandria | PBE-GGA | optimized geometry
data_RbTl2Se
_space_group_name_H-M_alt 'F m -3 m'
_space_group_IT_number 225
_space_group_name_Hall '-F 4 2 3'
_cell_length_a 8.111
_cell_length_b 8.111
_cell_length_c 8.111
_cell_angle_alpha 90.00
_cell_angle_beta 90.00
_cell_angle_gamma 90.00
loop_
_atom_site_label
_atom_site_fract_x
_atom_site_fract_y
_atom_site_fract_z
Rb1 0.000 0.000 0.000
Tl1 0.250 0.250 0.250
Se1 0.000 0.000 0.500
# V = 534 Å³ per cell
# Formation energy (no corrections) = -0.9 eV/f.u.
# Polymorph energy (0 for the lowest one) = 172 meV per atom

***

Entry 4:
# RbTl3Se2 | Alexandria | PBE-GGA | optimized geometry
data_RbTl3Se2
_space_group_name_H-M_alt 'C 1 2/m 1'
_space_group_IT_number 12
_cell_length_a 18.832
_cell_length_b 4.393
_cell_length_c 10.856
_cell_angle_alpha 90.00
_cell_angle_beta 104.98
_cell_angle_gamma 90.00
loop_
_space_group_symop_operation_xyz
'x,y,z'
'-x,-y,-z'
'-x,y,-z'
'x,-y,z'
'x+1/2,y+1/2,z'
'-x+1/2,-y+1/2,-z'
'-x+1/2,y+1/2,-z'
'x+1/2,-y+1/2,z'
loop_
_atom_site_label
_atom_site_fract_x
_atom_site_fract_y
_atom_site_fract_z
Rb1 0.095 0.000 0.131
Tl1 0.058 0.000 0.663
Tl2 0.163 0.500 0.507
Tl3 0.211 0.500 0.882
Se1 0.054 0.500 0.850
Se2 0.243 0.000 0.693
# V = 868 Å³ per cell
# Formation energy (no corrections) = -3.3 eV/f.u.
# Polymorph energy (0 for the lowest one) = 0 meV per atom

***

Entry 5:
# RbTlSe | Alexandria | PBE-GGA | optimized geometry
data_RbTlSe
_space_group_name_H-M_alt 'P 1 21/m 1'
_space_group_IT_number 11
_cell_length_a 4.238
_cell_length_b 5.683
_cell_length_c 9.959
_cell_angle_alpha 90.00
_cell_angle_beta 102.26
_cell_angle_gamma 90.00
loop_
_space_group_symop_operation_xyz
'x,y,z'
'-x,-y,-z'
'-x,y+1/2,-z'
'x,-y+1/2,z'
loop_
_atom_site_label
_atom_site_fract_x
_atom_site_fract_y
_atom_site_fract_z
Rb1 0.176 0.250 0.354
Tl1 0.040 0.750 0.082
Se1 0.359 0.250 0.714
# V = 234 Å³ per cell
# Formation energy (no corrections) = -2.2 eV/f.u.
# Polymorph energy (0 for the lowest one) = 11 meV per atom

***

Entry 6:
# RbTlSe | Alexandria | PBE-GGA | optimized geometry
data_RbTlSe
_space_group_name_H-M_alt 'C 1 2/m 1'
_space_group_IT_number 12
_cell_length_a 12.185
_cell_length_b 4.923
_cell_length_c 8.389
_cell_angle_alpha 90.00
_cell_angle_beta 106.59
_cell_angle_gamma 90.00
loop_
_space_group_symop_operation_xyz
'x,y,z'
'-x,-y,-z'
'-x,y,-z'
'x,-y,z'
'x+1/2,y+1/2,z'
'-x+1/2,-y+1/2,-z'
'-x+1/2,y+1/2,-z'
'x+1/2,-y+1/2,z'
loop_
_atom_site_label
_atom_site_fract_x
_atom_site_fract_y
_atom_site_fract_z
Rb1 0.114 0.000 0.327
Tl1 0.120 0.500 0.910
Se1 0.205 0.000 0.756
# V = 482 Å³ per cell
# Formation energy (no corrections) = -2.2 eV/f.u.
# Polymorph energy (0 for the lowest one) = 6 meV per atom

***

Entry 7:
# RbTlSe | Alexandria | PBE-GGA | optimized geometry
data_RbTlSe
_space_group_name_H-M_alt 'F -4 3 m'
_space_group_IT_number 216
_space_group_name_Hall 'F -4 2 3'
_cell_length_a 7.860
_cell_length_b 7.860
_cell_length_c 7.860
_cell_angle_alpha 90.00
_cell_angle_beta 90.00
_cell_angle_gamma 90.00
loop_
_atom_site_label
_atom_site_fract_x
_atom_site_fract_y
_atom_site_fract_z
Rb1 0.000 0.000 0.000
Tl1 0.000 0.000 0.500
Se1 0.250 0.250 0.250
# V = 486 Å³ per cell
# Formation energy (no corrections) = -2.0 eV/f.u.
# Polymorph energy (0 for the lowest one) = 71 meV per atom

***

Entry 8:
# RbTl2Se | Alexandria | PBE-GGA | optimized geometry
data_RbTl2Se
_space_group_name_H-M_alt 'R -3 m'
_space_group_IT_number 166
_space_group_name_Hall '-R 3 2"'
_cell_length_a 4.5044
_cell_length_b 4.5044
_cell_length_c 33.2309
_cell_angle_alpha 90.00
_cell_angle_beta 90.00
_cell_angle_gamma 120.00
loop_
_atom_site_label
_atom_site_fract_x
_atom_site_fract_y
_atom_site_fract_z
Rb1 0.0000 0.0000 0.0000
Tl1 0.0000 0.0000 0.1175
Se1 0.0000 0.0000 0.5000
# V = 584 Å³ per cell
# Formation energy (no corrections) = -1.0 eV/f.u.
# Polymorph energy (0 for the lowest one) = 155 meV per atom